Entry from the Alexandria database: crystalline AlFe2H2 at its relaxed geometry (GGA-PBEsol).

Structure (CIF):
```
data_AlFe2H2
_chemical_formula_sum 'Al2 Fe4 H4'
_cell_length_a 5.438
_cell_length_b 5.438
_cell_length_c 2.763
_cell_angle_alpha 90.00
_cell_angle_beta 90.00
_cell_angle_gamma 90.00
_symmetry_space_group_name_H-M 'P 4/m b m'
_symmetry_Int_Tables_number 127
_symmetry_space_group_name_Hall '-P 4 2ab'
loop_
_atom_site_label
_atom_site_fract_x
_atom_site_fract_y
_atom_site_fract_z
_atom_site_occupancy
Al1 0.000 0.000 0.000 1
Fe1 0.146 0.354 0.500 1
H1 0.239 0.739 0.000 1
```

Calculated values
**Fermi-level density of states**: 0.5238 states/eV per atom
**E above lowest polymorph**: 0.3040 eV per atom
**Total magnetization**: 2.5 μB per formula unit
**Total DFT energy (no corrections)**: -5.5722 eV/atom